1.
# PBE-GGA DyTm6Sc4, optimized geometry
data_DyTm6Sc4
_symmetry_space_group_name_H-M 'I -4 2 m'
_symmetry_Int_Tables_number 121
_symmetry_space_group_name_Hall 'I -4 2'
_cell_length_a 6.2911
_cell_length_b 6.2911
_cell_length_c 16.4612
_cell_angle_alpha 90.00
_cell_angle_beta 90.00
_cell_angle_gamma 90.00
loop_
_atom_site_label
_atom_site_type_symbol
_atom_site_fract_x
_atom_site_fract_y
_atom_site_fract_z
Dy1 Dy 0.0000 0.0000 0.0000
Tm1 Tm 0.0000 0.5000 0.0000
Tm2 Tm 0.1878 0.1878 0.1768
Sc1 Sc 0.1756 0.1756 0.3717
# Volume (Å³/atom): 29.6
# E_form (meV per atom): 322
# Electronic total energy (eV for the cell shown): -106.4



2.
# PBE-GGA DyTm2Sc, optimized geometry
data_DyTm2Sc
_symmetry_space_group_name_H-M 'P 4/m m m'
_symmetry_Int_Tables_number 123
_symmetry_space_group_name_Hall '-P 4 2'
_cell_length_a 4.8647
_cell_length_b 4.8647
_cell_length_c 4.8863
_cell_angle_alpha 90.00
_cell_angle_beta 90.00
_cell_angle_gamma 90.00
loop_
_atom_site_label
_atom_site_type_symbol
_atom_site_fract_x
_atom_site_fract_y
_atom_site_fract_z
Dy1 Dy 0.0000 0.0000 0.0000
Tm1 Tm 0.0000 0.5000 0.5000
Sc1 Sc 0.5000 0.5000 0.0000
# Volume (Å³/atom): 28.9
# E_form (meV per atom): 44
# Electronic total energy (eV for the cell shown): -19.7



3.
# PBE-GGA Dy7Tm3Sc2, optimized geometry
data_Dy7Tm3Sc2
_symmetry_space_group_name_H-M 'R -3 m'
_symmetry_Int_Tables_number 166
_symmetry_space_group_name_Hall '-R 3 2"'
_cell_length_a 6.3932
_cell_length_b 6.3932
_cell_length_c 32.2939
_cell_angle_alpha 90.00
_cell_angle_beta 90.00
_cell_angle_gamma 120.00
loop_
_atom_site_label
_atom_site_type_symbol
_atom_site_fract_x
_atom_site_fract_y
_atom_site_fract_z
Dy1 Dy 0.0000 0.0000 0.0000
Dy2 Dy 0.0032 0.5016 0.4173
Tm1 Tm 0.0000 0.0000 0.3487
Tm2 Tm 0.0000 0.0000 0.5000
Sc1 Sc 0.0000 0.0000 0.1665
# Volume (Å³/atom): 31.8
# E_form (meV per atom): 306
# Electronic total energy (eV for the cell shown): -163.9



4.
# PBE-GGA Dy3TmSc, optimized geometry
data_Dy3TmSc
_symmetry_space_group_name_H-M 'C m c m'
_symmetry_Int_Tables_number 63
_symmetry_space_group_name_Hall '-C 2c 2'
_cell_length_a 3.4702
_cell_length_b 17.0601
_cell_length_c 10.4361
_cell_angle_alpha 90.00
_cell_angle_beta 90.00
_cell_angle_gamma 90.00
loop_
_atom_site_label
_atom_site_type_symbol
_atom_site_fract_x
_atom_site_fract_y
_atom_site_fract_z
Dy1 Dy 0.0000 0.0000 0.0000
Dy2 Dy 0.0000 0.3269 0.0589
Tm1 Tm 0.0000 0.1475 0.2500
Sc1 Sc 0.0000 0.4774 0.2500
# Volume (Å³/atom): 30.9
# E_form (meV per atom): 165
# Electronic total energy (eV for the cell shown): -95.1



5.
# PBE-GGA Dy5Tm2Sc2, optimized geometry
data_Dy5Tm2Sc2
_symmetry_space_group_name_H-M 'C 1 2/m 1'
_symmetry_Int_Tables_number 12
_cell_length_a 14.7057
_cell_length_b 4.8894
_cell_length_c 7.7825
_cell_angle_alpha 90.00
_cell_angle_beta 108.49
_cell_angle_gamma 90.00
loop_
_symmetry_equiv_pos_as_xyz
'x,y,z'
'-x,-y,-z'
'-x,y,-z'
'x,-y,z'
'x+1/2,y+1/2,z'
'-x+1/2,-y+1/2,-z'
'-x+1/2,y+1/2,-z'
'x+1/2,-y+1/2,z'
loop_
_atom_site_label
_atom_site_type_symbol
_atom_site_fract_x
_atom_site_fract_y
_atom_site_fract_z
Dy1 Dy 0.0000 0.0000 0.0000
Dy2 Dy 0.1656 0.5000 0.0012
Dy3 Dy 0.2212 0.0000 0.3355
Tm1 Tm 0.1079 0.0000 0.6642
Sc1 Sc 0.0550 0.5000 0.3382
# Volume (Å³/atom): 29.5
# E_form (meV per atom): 39
# Electronic total energy (eV for the cell shown): -88.5



6.
# PBE-GGA Dy6TmSc8, optimized geometry
data_Dy6TmSc8
_symmetry_space_group_name_H-M 'R -3'
_symmetry_Int_Tables_number 148
_symmetry_space_group_name_Hall '-R 3'
_cell_length_a 8.5616
_cell_length_b 8.5616
_cell_length_c 19.8416
_cell_angle_alpha 90.00
_cell_angle_beta 90.00
_cell_angle_gamma 120.00
loop_
_atom_site_label
_atom_site_type_symbol
_atom_site_fract_x
_atom_site_fract_y
_atom_site_fract_z
Dy1 Dy 0.0663 0.2507 0.2110
Tm1 Tm 0.0000 0.0000 0.5000
Sc1 Sc 0.0000 0.0000 0.0746
Sc2 Sc 0.0802 0.5553 0.3093
# Volume (Å³/atom): 28.0
# E_form (meV per atom): 139
# Electronic total energy (eV for the cell shown): -242.0



7.
# PBE-GGA Dy7TmSc4, optimized geometry
data_Dy7TmSc4
_symmetry_space_group_name_H-M 'C 1 2/m 1'
_symmetry_Int_Tables_number 12
_cell_length_a 15.4468
_cell_length_b 5.7308
_cell_length_c 9.3671
_cell_angle_alpha 90.00
_cell_angle_beta 120.89
_cell_angle_gamma 90.00
loop_
_symmetry_equiv_pos_as_xyz
'x,y,z'
'-x,-y,-z'
'-x,y,-z'
'x,-y,z'
'x+1/2,y+1/2,z'
'-x+1/2,-y+1/2,-z'
'-x+1/2,y+1/2,-z'
'x+1/2,-y+1/2,z'
loop_
_atom_site_label
_atom_site_type_symbol
_atom_site_fract_x
_atom_site_fract_y
_atom_site_fract_z
Dy1 Dy 0.0000 0.0000 0.0000
Dy2 Dy 0.0877 0.5000 0.4447
Dy3 Dy 0.2077 0.5000 0.8819
Dy4 Dy 0.2416 0.5000 0.2764
Tm1 Tm 0.0000 0.5000 0.0000
Sc1 Sc 0.0545 0.0000 0.7024
Sc2 Sc 0.1674 0.0000 0.3473
# Volume (Å³/atom): 29.7
# E_form (meV per atom): 253
# Electronic total energy (eV for the cell shown): -118.0



8.
# PBE-GGA DyTm12Sc5, optimized geometry
data_DyTm12Sc5
_symmetry_space_group_name_H-M 'C 1 2/m 1'
_symmetry_Int_Tables_number 12
_cell_length_a 5.9736
_cell_length_b 10.3490
_cell_length_c 16.7242
_cell_angle_alpha 90.00
_cell_angle_beta 96.86
_cell_angle_gamma 90.00
loop_
_symmetry_equiv_pos_as_xyz
'x,y,z'
'-x,-y,-z'
'-x,y,-z'
'x,-y,z'
'x+1/2,y+1/2,z'
'-x+1/2,-y+1/2,-z'
'-x+1/2,y+1/2,-z'
'x+1/2,-y+1/2,z'
loop_
_atom_site_label
_atom_site_type_symbol
_atom_site_fract_x
_atom_site_fract_y
_atom_site_fract_z
Dy1 Dy 0.0000 0.0000 0.0000
Tm1 Tm 0.1087 0.5000 0.8329
Tm2 Tm 0.1113 0.1675 0.8329
Tm3 Tm 0.2198 0.0000 0.6615
Tm4 Tm 0.2197 0.3334 0.6615
Sc1 Sc 0.0000 0.1667 0.5000
Sc2 Sc 0.0000 0.3333 0.0000
Sc3 Sc 0.0000 0.5000 0.5000
# Volume (Å³/atom): 28.5
# E_form (meV per atom): 33
# Electronic total energy (eV for the cell shown): -178.6